Sc5Tl3O12, relaxed, DFT GGA-PBE; E = -7.162 eV/atom
1.0
-6.4784 6.4784 6.4784
6.4784 -6.4784 6.4784
6.4784 6.4784 -6.4784
Sc Tl O
20 12 48
direct
0.0000 0.0000 0.0000
0.0000 0.0000 0.5000
0.0000 0.5000 0.0000
0.0000 0.5000 0.5000
0.1250 0.7500 0.8750
0.1250 0.8750 0.2500
0.2500 0.1250 0.8750
0.2500 0.6250 0.3750
0.3750 0.2500 0.6250
0.3750 0.6250 0.7500
0.5000 0.0000 0.0000
0.5000 0.0000 0.5000
0.5000 0.5000 0.0000
0.5000 0.5000 0.5000
0.6250 0.3750 0.2500
0.6250 0.7500 0.3750
0.7500 0.3750 0.6250
0.7500 0.8750 0.1250
0.8750 0.1250 0.7500
0.8750 0.2500 0.1250
0.1250 0.2500 0.3750
0.1250 0.3750 0.7500
0.2500 0.3750 0.1250
0.2500 0.8750 0.6250
0.3750 0.1250 0.2500
0.3750 0.7500 0.1250
0.6250 0.2500 0.8750
0.6250 0.8750 0.7500
0.7500 0.1250 0.3750
0.7500 0.6250 0.8750
0.8750 0.6250 0.2500
0.8750 0.7500 0.6250
0.0338 0.2114 0.1215
0.0338 0.3224 0.9123
0.0877 0.6215 0.4101
0.0877 0.9662 0.6776
0.0899 0.7114 0.6776
0.0899 0.8785 0.4123
0.1215 0.0338 0.2114
0.1215 0.5877 0.9101
0.1776 0.2114 0.5899
0.1776 0.4662 0.5877
0.2114 0.1215 0.0338
0.2114 0.5899 0.1776
0.2886 0.3224 0.9101
0.2886 0.4662 0.3785
0.3224 0.9101 0.2886
0.3224 0.9123 0.0338
0.3785 0.2886 0.4662
0.3785 0.5899 0.9123
0.4101 0.0877 0.6215
0.4101 0.8224 0.7886
0.4123 0.0899 0.8785
0.4123 0.8224 0.5338
0.4662 0.3785 0.2886
0.4662 0.5877 0.1776
0.5338 0.4123 0.8224
0.5338 0.6215 0.7114
0.5877 0.1776 0.4662
0.5877 0.9101 0.1215
0.5899 0.1776 0.2114
0.5899 0.9123 0.3785
0.6215 0.4101 0.0877
0.6215 0.7114 0.5338
0.6776 0.0877 0.9662
0.6776 0.0899 0.7114
0.7114 0.5338 0.6215
0.7114 0.6776 0.0899
0.7886 0.4101 0.8224
0.7886 0.8785 0.9662
0.8224 0.5338 0.4123
0.8224 0.7886 0.4101
0.8785 0.4123 0.0899
0.8785 0.9662 0.7886
0.9101 0.1215 0.5877
0.9101 0.2886 0.3224
0.9123 0.0338 0.3224
0.9123 0.3785 0.5899
0.9662 0.6776 0.0877
0.9662 0.7886 0.8785